Record 1
PBE InNi2W, optimized geometry; calculated volume = 59.7 Å³/f.u.; ΔH_f (0 K) = 0.45 eV/atom; DFT total energy = -25.47 eV per cell
1.0
2.934 0.000 0.000
0.000 4.324 0.000
0.000 0.000 4.705
In Ni W
1 2 1
direct
0.000 0.000 0.000
0.000 0.500 0.500
0.500 0.500 0.000
0.500 0.000 0.500

***

Record 2
PBE Tb4YHo2Tm2, optimized geometry; calculated volume = 284.7 Å³/f.u.; ΔH_f (0 K) = 0.03 eV/atom; DFT total energy = -42.84 eV per cell
1.0
8.530 -1.782 0.000
8.530 1.782 0.000
-1.873 0.000 9.367
Tb Y Ho Tm
4 1 2 2
direct
0.017 0.017 0.327
0.321 0.321 0.757
0.679 0.679 0.243
0.983 0.983 0.673
0.500 0.500 0.000
0.348 0.348 0.406
0.652 0.652 0.594
0.165 0.165 0.923
0.835 0.835 0.077